[1]
Computed, not measured: a crystal of Pb2Au relaxed with PBEsol at the meta-GGA SCAN level of DFT.

Unit cell a=3.634 b=6.497 c=6.769 alpha=90.00 beta=105.19 gamma=90.00
Sites, in units of the cell vectors:
Pb: 0.020 0.000 0.039
Pb: 0.301 0.232 0.609
Pb: 0.699 0.732 0.391
Pb: 0.980 0.500 0.961
Au: 0.367 0.792 0.730
Au: 0.633 0.292 0.270

Values from the calculation:
final energy: -441.6 eV for the cell shown
total magnetization: 0.0 μB per formula unit
DFT formation energy: -0.0350 eV/atom

---

[2]
Computed, not measured: a crystal of LiTc2Ni relaxed with PBEsol at the meta-GGA SCAN level of DFT.

Unit cell a=2.965 b=2.965 c=5.603 alpha=90.00 beta=90.00 gamma=90.00
Sites, in units of the cell vectors:
Li: 0.000 0.000 0.000
Tc: 0.000 0.000 0.485
Tc: 0.500 0.500 0.734
Ni: 0.500 0.500 0.203

Values from the calculation:
final energy: -88.1 eV for the cell shown
E above lowest polymorph: 0.00 eV/f.u.
total magnetization: 0.0 μB per formula unit
DFT formation energy: 0.1485 eV/atom

---

[3]
Computed, not measured: a crystal of TiVN2 relaxed with PBEsol at the meta-GGA SCAN level of DFT.

Unit cell a=5.055 b=5.055 c=5.055 alpha=33.74 beta=33.74 gamma=33.74
Sites, in units of the cell vectors:
Ti: 0.000 0.000 0.000
V: 0.500 0.500 0.500
N: 0.249 0.249 0.249
N: 0.751 0.751 0.751

Values from the calculation:
final energy: -58.4 eV for the cell shown
E_form (uncorrected): -1569 meV/atom
total magnetization: 0.7 μB per formula unit

---

[4]
Computed, not measured: a crystal of LiIn2Ag relaxed with PBEsol at the meta-GGA SCAN level of DFT.

Unit cell a=5.093 b=5.093 c=3.162 alpha=90.00 beta=90.00 gamma=107.90
Sites, in units of the cell vectors:
Li: 0.000 0.000 0.000
In: 0.000 0.500 0.500
In: 0.500 0.000 0.500
Ag: 0.500 0.500 0.000

Values from the calculation:
final energy: -101.2 eV for the cell shown
total magnetization: 0.0 μB per formula unit
DFT formation energy: -0.1571 eV/atom

---

[5]
Computed, not measured: a crystal of AlTe2Ir relaxed with PBEsol at the meta-GGA SCAN level of DFT.

Unit cell a=3.749 b=3.749 c=6.565 alpha=90.00 beta=90.00 gamma=90.00
Sites, in units of the cell vectors:
Al: 0.000 0.000 0.000
Te: 0.000 0.500 0.701
Te: 0.500 0.000 0.299
Ir: 0.500 0.500 0.000

Values from the calculation:
final energy: -154.4 eV for the cell shown
E above lowest polymorph: 0.00 eV/f.u.
E_form (uncorrected): -252 meV/atom
total magnetization: 0.0 μB per formula unit

---

[6]
Computed, not measured: a crystal of TaCd2P relaxed with PBEsol at the meta-GGA SCAN level of DFT.

Unit cell a=4.827 b=4.827 c=5.165 alpha=109.65 beta=109.65 gamma=40.32
Sites, in units of the cell vectors:
Ta: 0.000 0.000 0.000
Cd: 0.217 0.217 0.634
Cd: 0.446 0.446 0.425
P: 0.711 0.711 0.031

Values from the calculation:
final energy: -137.6 eV for the cell shown
total magnetization: 0.0 μB per formula unit
DFT formation energy: 0.0491 eV/atom

---

[7]
Computed, not measured: a crystal of LaScMn relaxed with PBEsol at the meta-GGA SCAN level of DFT.

Unit cell a=4.634 b=4.634 c=4.634 alpha=60.00 beta=60.00 gamma=60.00
Sites, in units of the cell vectors:
La: 0.000 0.000 0.000
Sc: 0.250 0.250 0.250
Mn: 0.750 0.750 0.750

Values from the calculation:
final energy: -73.1 eV for the cell shown
E above lowest polymorph: 2.07 eV/f.u.
total magnetization: 3.3 μB per formula unit
DFT formation energy: 0.8408 eV/atom

---

[8]
Computed, not measured: a crystal of BaSr7Fe6Co2O24 relaxed with PBEsol at the meta-GGA SCAN level of DFT.

Unit cell a=7.577 b=7.612 c=7.612 alpha=90.04 beta=90.00 gamma=90.00
Sites, in units of the cell vectors:
Ba: 0.000 0.000 0.000
Sr: 0.000 0.000 0.502
Sr: 0.000 0.502 0.000
Sr: 0.000 0.502 0.502
Sr: 0.500 0.000 0.000
Sr: 0.500 0.000 0.502
Sr: 0.500 0.502 0.000
Sr: 0.500 0.502 0.502
Fe: 0.251 0.252 0.252
Fe: 0.251 0.253 0.750
Fe: 0.251 0.750 0.253
Fe: 0.749 0.252 0.252
Fe: 0.749 0.253 0.750
Fe: 0.749 0.750 0.253
Co: 0.252 0.750 0.750
Co: 0.748 0.750 0.750
O: 0.000 0.255 0.255
O: 0.000 0.255 0.747
O: 0.000 0.747 0.255
O: 0.000 0.747 0.747
O: 0.251 0.252 0.500
O: 0.251 0.498 0.750
O: 0.251 0.500 0.252
O: 0.251 0.750 0.498
O: 0.254 0.002 0.255
O: 0.254 0.005 0.747
O: 0.254 0.255 0.002
O: 0.254 0.747 0.005
O: 0.500 0.252 0.252
O: 0.500 0.253 0.750
O: 0.500 0.750 0.253
O: 0.500 0.750 0.750
O: 0.746 0.002 0.255
O: 0.746 0.005 0.747
O: 0.746 0.255 0.002
O: 0.746 0.747 0.005
O: 0.749 0.252 0.500
O: 0.749 0.498 0.750
O: 0.749 0.500 0.252
O: 0.749 0.750 0.498

Values from the calculation:
final energy: -577.2 eV for the cell shown
E_form (uncorrected): -2219 meV/atom
total magnetization: 25.4 μB per formula unit

---

[9]
Computed, not measured: a crystal of AlZn2Fe relaxed with PBEsol at the meta-GGA SCAN level of DFT.

Unit cell a=4.732 b=4.732 c=4.732 alpha=136.03 beta=136.03 gamma=63.94
Sites, in units of the cell vectors:
Al: 0.000 0.000 0.000
Zn: 0.250 0.750 0.500
Zn: 0.750 0.250 0.500
Fe: 0.500 0.500 0.000

Values from the calculation:
final energy: -53.5 eV for the cell shown
total magnetization: 1.3 μB per formula unit
DFT formation energy: -0.1498 eV/atom

---

[10]
Computed, not measured: a crystal of KFeRu relaxed with PBEsol at the meta-GGA SCAN level of DFT.

Unit cell a=4.340 b=4.340 c=4.340 alpha=60.00 beta=60.00 gamma=60.00
Sites, in units of the cell vectors:
K: 0.000 0.000 0.000
Fe: 0.250 0.250 0.250
Ru: 0.500 0.500 0.500

Values from the calculation:
final energy: -56.0 eV for the cell shown
E above lowest polymorph: 2.96 eV/f.u.
total magnetization: 3.9 μB per formula unit
DFT formation energy: 1.7661 eV/atom

---

[11]
Computed, not measured: a crystal of NiMoBr2 relaxed with PBEsol at the meta-GGA SCAN level of DFT.

Unit cell a=4.636 b=4.636 c=4.636 alpha=60.00 beta=60.00 gamma=60.00
Sites, in units of the cell vectors:
Ni: 0.000 0.000 0.000
Mo: 0.250 0.250 0.250
Br: 0.500 0.500 0.500
Br: 0.750 0.750 0.750

Values from the calculation:
final energy: -85.4 eV for the cell shown
E above lowest polymorph: 2.02 eV/f.u.
E_form (uncorrected): 1141 meV/atom
total magnetization: 2.2 μB per formula unit

---

[12]
Computed, not measured: a crystal of TaNbCr2 relaxed with PBEsol at the meta-GGA SCAN level of DFT.

Unit cell a=4.333 b=4.333 c=4.333 alpha=60.00 beta=60.00 gamma=60.00
Sites, in units of the cell vectors:
Ta: 0.000 0.000 0.000
Nb: 0.500 0.500 0.500
Cr: 0.250 0.250 0.250
Cr: 0.750 0.750 0.750

Values from the calculation:
final energy: -136.4 eV for the cell shown
total magnetization: 0.0 μB per formula unit
DFT formation energy: 0.0219 eV/atom